# 1
# Ce4P2SeBr, relaxed, DFT PBE
data_Ce4P2SeBr
_chemical_formula_sum 'Ce4 P2 Se1 Br1'
_cell_length_a 4.130
_cell_length_b 7.311
_cell_length_c 7.158
_cell_angle_alpha 70.98
_cell_angle_beta 90.00
_cell_angle_gamma 90.00
_symmetry_space_group_name_H-M 'P 1'
_symmetry_Int_Tables_number 1
loop_
_symmetry_equiv_pos_as_xyz
'x,y,z'
loop_
_atom_site_label
_atom_site_type_symbol
_atom_site_fract_x
_atom_site_fract_y
_atom_site_fract_z
Ce1 Ce 0.000 0.772 0.748
Ce2 Ce 0.000 0.228 0.252
Ce3 Ce 0.500 0.776 0.236
Ce4 Ce 0.500 0.224 0.764
P1 P 0.000 0.000 0.000
P2 P 0.500 0.000 0.500
Se1 Se 0.500 0.500 0.000
Br1 Br 0.000 0.500 0.500
# Space group = P2/m (10)
# Formation energy (no corrections) = -1556 meV per atom
# D(E_F) = 2.712 states/eV per atom
# Uncorrected energy = -6.520 eV/atom


# 2
# BaSmTe, relaxed, DFT PBE
data_BaSmTe
_chemical_formula_sum 'Ba2 Sm2 Te2'
_cell_length_a 4.802
_cell_length_b 4.802
_cell_length_c 9.552
_cell_angle_alpha 90.00
_cell_angle_beta 90.00
_cell_angle_gamma 90.00
_symmetry_space_group_name_H-M 'P 1'
_symmetry_Int_Tables_number 1
loop_
_symmetry_equiv_pos_as_xyz
'x,y,z'
loop_
_atom_site_label
_atom_site_type_symbol
_atom_site_fract_x
_atom_site_fract_y
_atom_site_fract_z
Ba1 Ba 0.000 0.500 0.855
Ba2 Ba 0.500 0.000 0.145
Te1 Te 0.000 0.500 0.255
Te2 Te 0.500 0.000 0.745
Sm1 Sm 0.500 0.500 0.500
Sm2 Sm 0.000 0.000 0.500
# Space group = P4/nmm (129)
# Formation energy (no corrections) = -944 meV per atom
# D(E_F) = 1.043 states/eV per atom
# Uncorrected energy = -4.205 eV/atom


# 3
# ZnTe2Os, relaxed, DFT PBE
data_ZnTe2Os
_chemical_formula_sum 'Zn1 Te2 Os1'
_cell_length_a 3.983
_cell_length_b 3.983
_cell_length_c 7.191
_cell_angle_alpha 73.51
_cell_angle_beta 73.51
_cell_angle_gamma 59.79
_symmetry_space_group_name_H-M 'P 1'
_symmetry_Int_Tables_number 1
loop_
_symmetry_equiv_pos_as_xyz
'x,y,z'
loop_
_atom_site_label
_atom_site_type_symbol
_atom_site_fract_x
_atom_site_fract_y
_atom_site_fract_z
Os1 Os 0.250 0.250 0.250
Te1 Te 0.988 0.988 0.042
Te2 Te 0.512 0.512 0.458
Zn1 Zn 0.750 0.750 0.750
# Space group = C2/m (12)
# Formation energy (no corrections) = 257 meV per atom
# D(E_F) = 0.872 states/eV per atom
# Uncorrected energy = -4.439 eV/atom


# 4
# HfSc2Al, relaxed, DFT PBE
data_HfSc2Al
_chemical_formula_sum 'Hf1 Sc2 Al1'
_cell_length_a 3.213
_cell_length_b 3.213
_cell_length_c 10.001
_cell_angle_alpha 80.76
_cell_angle_beta 80.76
_cell_angle_gamma 60.00
_symmetry_space_group_name_H-M 'P 1'
_symmetry_Int_Tables_number 1
loop_
_symmetry_equiv_pos_as_xyz
'x,y,z'
loop_
_atom_site_label
_atom_site_type_symbol
_atom_site_fract_x
_atom_site_fract_y
_atom_site_fract_z
Hf1 Hf 0.500 0.500 0.499
Sc1 Sc 0.080 0.080 0.760
Sc2 Sc 0.253 0.253 0.240
Al1 Al 0.666 0.666 0.001
# Space group = R3m (160)
# D(E_F) = 0.971 states/eV per atom
# Uncorrected energy = -6.707 eV/atom
# Formation energy from the elements = -117 meV/atom


# 5
# PAuO4, relaxed, DFT PBE
data_PAuO4
_chemical_formula_sum 'P2 Au2 O8'
_cell_length_a 4.948
_cell_length_b 4.948
_cell_length_c 7.783
_cell_angle_alpha 83.04
_cell_angle_beta 83.04
_cell_angle_gamma 76.56
_symmetry_space_group_name_H-M 'P 1'
_symmetry_Int_Tables_number 1
loop_
_symmetry_equiv_pos_as_xyz
'x,y,z'
loop_
_atom_site_label
_atom_site_type_symbol
_atom_site_fract_x
_atom_site_fract_y
_atom_site_fract_z
P1 P 0.073 0.927 0.750
P2 P 0.927 0.073 0.250
Au1 Au 0.000 0.500 0.500
Au2 Au 0.500 0.000 0.000
O1 O 0.237 0.804 0.911
O2 O 0.196 0.763 0.589
O3 O 0.763 0.196 0.089
O4 O 0.804 0.237 0.411
O5 O 0.767 0.890 0.789
O6 O 0.110 0.233 0.711
O7 O 0.233 0.110 0.211
O8 O 0.890 0.767 0.289
# Space group = C2/c (15)
# Formation energy (no corrections) = -1291 meV per atom
# Uncorrected energy = -6.044 eV/atom


# 6
# Mn2OsBr, relaxed, DFT PBE
data_Mn2OsBr
_chemical_formula_sum 'Mn2 Os1 Br1'
_cell_length_a 5.174
_cell_length_b 5.174
_cell_length_c 5.174
_cell_angle_alpha 145.55
_cell_angle_beta 124.66
_cell_angle_gamma 66.83
_symmetry_space_group_name_H-M 'P 1'
_symmetry_Int_Tables_number 1
loop_
_symmetry_equiv_pos_as_xyz
'x,y,z'
loop_
_atom_site_label
_atom_site_type_symbol
_atom_site_fract_x
_atom_site_fract_y
_atom_site_fract_z
Br1 Br 0.250 0.750 0.500
Mn1 Mn 0.999 0.999 0.000
Mn2 Mn 0.501 0.501 0.000
Os1 Os 0.750 0.250 0.500
# Space group = Immm (71)
# Formation energy (no corrections) = 907 meV per atom
# D(E_F) = 0.941 states/eV per atom
# Uncorrected energy = -6.904 eV/atom
# Energy above the most stable polymorph in this dataset = 603 meV/atom


# 7
# ScNiOs2, relaxed, DFT PBE
data_ScNiOs2
_chemical_formula_sum 'Sc1 Ni1 Os2'
_cell_length_a 8.997
_cell_length_b 8.997
_cell_length_c 8.997
_cell_angle_alpha 17.85
_cell_angle_beta 17.85
_cell_angle_gamma 17.85
_symmetry_space_group_name_H-M 'P 1'
_symmetry_Int_Tables_number 1
loop_
_symmetry_equiv_pos_as_xyz
'x,y,z'
loop_
_atom_site_label
_atom_site_type_symbol
_atom_site_fract_x
_atom_site_fract_y
_atom_site_fract_z
Ni1 Ni 0.748 0.748 0.748
Os1 Os 0.001 0.001 0.001
Os2 Os 0.255 0.255 0.255
Sc1 Sc 0.496 0.496 0.496
# Space group = R3m (160)
# D(E_F) = 1.523 states/eV per atom
# Uncorrected energy = -8.433 eV/atom
# Formation energy from the elements = 210 meV/atom
# Energy above the most stable polymorph in this dataset = 297 meV/atom


# 8
# TcSnSb2, relaxed, DFT PBE
data_TcSnSb2
_chemical_formula_sum 'Tc1 Sn1 Sb2'
_cell_length_a 3.317
_cell_length_b 3.317
_cell_length_c 8.142
_cell_angle_alpha 90.00
_cell_angle_beta 90.00
_cell_angle_gamma 90.00
_symmetry_space_group_name_H-M 'P 1'
_symmetry_Int_Tables_number 1
loop_
_symmetry_equiv_pos_as_xyz
'x,y,z'
loop_
_atom_site_label
_atom_site_type_symbol
_atom_site_fract_x
_atom_site_fract_y
_atom_site_fract_z
Sb1 Sb 0.000 0.000 0.802
Sb2 Sb 0.000 0.000 0.198
Sn1 Sn 0.500 0.500 0.500
Tc1 Tc 0.500 0.500 0.000
# Space group = P4/mmm (123)
# Formation energy (no corrections) = 62 meV per atom
# D(E_F) = 0.392 states/eV per atom
# Uncorrected energy = -5.591 eV/atom


# 9
# Ti2V3Mo2, relaxed, DFT PBE
data_Ti2V3Mo2
_chemical_formula_sum 'Ti2 V3 Mo2'
_cell_length_a 4.386
_cell_length_b 4.394
_cell_length_c 6.768
_cell_angle_alpha 108.91
_cell_angle_beta 90.00
_cell_angle_gamma 119.94
_symmetry_space_group_name_H-M 'P 1'
_symmetry_Int_Tables_number 1
loop_
_symmetry_equiv_pos_as_xyz
'x,y,z'
loop_
_atom_site_label
_atom_site_type_symbol
_atom_site_fract_x
_atom_site_fract_y
_atom_site_fract_z
Ti1 Ti 0.576 0.152 0.728
Ti2 Ti 0.424 0.848 0.272
V1 V 0.000 0.000 0.000
V2 V 0.710 0.421 0.132
V3 V 0.290 0.579 0.868
Mo1 Mo 0.856 0.712 0.568
Mo2 Mo 0.144 0.288 0.432
# Space group = C2/m (12)
# D(E_F) = 1.474 states/eV per atom
# Uncorrected energy = -9.293 eV/atom
# Formation energy from the elements = -35 meV/atom
# Energy above the most stable polymorph in this dataset = 0 meV/atom


# 10
# Dy7CoCl12, relaxed, DFT PBE
data_Dy7CoCl12
_chemical_formula_sum 'Dy7 Co1 Cl12'
_cell_length_a 8.843
_cell_length_b 8.843
_cell_length_c 8.843
_cell_angle_alpha 106.55
_cell_angle_beta 106.55
_cell_angle_gamma 106.55
_symmetry_space_group_name_H-M 'P 1'
_symmetry_Int_Tables_number 1
loop_
_symmetry_equiv_pos_as_xyz
'x,y,z'
loop_
_atom_site_label
_atom_site_type_symbol
_atom_site_fract_x
_atom_site_fract_y
_atom_site_fract_z
Dy1 Dy 0.984 0.692 0.896
Dy2 Dy 0.308 0.104 0.016
Dy3 Dy 0.104 0.016 0.308
Dy4 Dy 0.500 0.500 0.500
Dy5 Dy 0.896 0.984 0.692
Dy6 Dy 0.692 0.896 0.984
Dy7 Dy 0.016 0.308 0.104
Co1 Co 0.000 0.000 0.000
Cl1 Cl 0.928 0.324 0.786
Cl2 Cl 0.676 0.214 0.072
Cl3 Cl 0.460 0.173 0.380
Cl4 Cl 0.827 0.620 0.540
Cl5 Cl 0.214 0.072 0.676
Cl6 Cl 0.620 0.540 0.827
Cl7 Cl 0.380 0.460 0.173
Cl8 Cl 0.786 0.928 0.324
Cl9 Cl 0.173 0.380 0.460
Cl10 Cl 0.540 0.827 0.620
Cl11 Cl 0.324 0.786 0.928
Cl12 Cl 0.072 0.676 0.214
# Space group = R-3 (148)
# Formation energy (no corrections) = -1876 meV per atom
# Uncorrected energy = -4.950 eV/atom


# 11
# LiEr2Ta, relaxed, DFT PBE
data_LiEr2Ta
_chemical_formula_sum 'Li1 Er2 Ta1'
_cell_length_a 3.126
_cell_length_b 3.126
_cell_length_c 11.701
_cell_angle_alpha 82.32
_cell_angle_beta 82.32
_cell_angle_gamma 60.00
_symmetry_space_group_name_H-M 'P 1'
_symmetry_Int_Tables_number 1
loop_
_symmetry_equiv_pos_as_xyz
'x,y,z'
loop_
_atom_site_label
_atom_site_type_symbol
_atom_site_fract_x
_atom_site_fract_y
_atom_site_fract_z
Er1 Er 0.085 0.085 0.746
Er2 Er 0.915 0.915 0.254
Li1 Li 0.500 0.500 0.500
Ta1 Ta 0.000 0.000 0.000
# Space group = R-3m (166)
# D(E_F) = 1.178 states/eV per atom
# Uncorrected energy = -5.130 eV/atom
# Formation energy from the elements = 593 meV/atom


# 12
# DyAs2P2Pd7, relaxed, DFT PBE
data_DyAs2P2Pd7
_chemical_formula_sum 'Dy1 As2 P2 Pd7'
_cell_length_a 4.112
_cell_length_b 4.112
_cell_length_c 12.887
_cell_angle_alpha 76.34
_cell_angle_beta 76.34
_cell_angle_gamma 89.18
_symmetry_space_group_name_H-M 'P 1'
_symmetry_Int_Tables_number 1
loop_
_symmetry_equiv_pos_as_xyz
'x,y,z'
loop_
_atom_site_label
_atom_site_type_symbol
_atom_site_fract_x
_atom_site_fract_y
_atom_site_fract_z
Dy1 Dy 0.000 0.000 0.000
As1 As 0.704 0.704 0.343
As2 As 0.296 0.296 0.657
P1 P 0.712 0.712 0.717
P2 P 0.288 0.288 0.283
Pd1 Pd 0.500 0.500 0.000
Pd2 Pd 0.260 0.260 0.471
Pd3 Pd 0.740 0.740 0.529
Pd4 Pd 0.873 0.377 0.175
Pd5 Pd 0.377 0.873 0.175
Pd6 Pd 0.623 0.127 0.825
Pd7 Pd 0.127 0.623 0.825
# Space group = C2/m (12)
# D(E_F) = 0.331 states/eV per atom
# Uncorrected energy = -5.484 eV/atom
# Formation energy from the elements = -394 meV/atom